[1]
Below is a PBEsol-optimized structure of ZrZn2Fe, with properties calculated at the meta-GGA SCAN level.

Properties
Calculated density   7.79 Mg/m³
Formation energy from the elements   -68 kJ/mol of formula units

Lattice parameters (Å, degrees): 4.375 4.375 4.375 60.00 60.00 60.00
Last column: magnetic moment on the atom in μB.
Fractional positions:
1 Fe 0.000 0.000 0.000  2.79
2 Zn 0.250 0.250 0.250  -0.04
3 Zn 0.750 0.750 0.750  -0.04
4 Zr 0.500 0.500 0.500  -0.20

[2]
Below is a PBEsol-optimized structure of SiPb4Br, with properties calculated at the meta-GGA SCAN level.

Properties
Calculated density   8.79 Mg/m³
Final energy   -330.0 eV for the cell shown

Lattice parameters (Å, degrees): 6.301 6.301 6.301 60.00 60.00 60.00
Fractional positions:
1 Br 0.000 0.000 0.000
2 Pb 0.874 0.375 0.375
3 Pb 0.375 0.375 0.375
4 Pb 0.375 0.375 0.874
5 Pb 0.375 0.874 0.375
6 Si 0.750 0.750 0.750

[3]
Below is a PBEsol-optimized structure of Ba4Ga2O7, with properties calculated at the meta-GGA SCAN level.

Properties
Calculated density   5.82 Mg/m³
Final energy   -1611.8 eV for the cell shown

Lattice parameters (Å, degrees): 7.306 10.705 17.714 90.00 98.43 90.00
Fractional positions:
1 Ba 0.038 0.788 0.257
2 Ba 0.462 0.288 0.743
3 Ba 0.962 0.212 0.743
4 Ba 0.538 0.712 0.257
5 Ba 0.456 0.268 0.093
6 Ba 0.044 0.768 0.907
7 Ba 0.544 0.732 0.907
8 Ba 0.956 0.232 0.093
9 Ba 0.500 0.290 0.410
10 Ba 0.000 0.790 0.590
11 Ba 0.500 0.710 0.590
12 Ba 0.000 0.210 0.410
13 Ba 0.342 0.896 0.082
14 Ba 0.158 0.396 0.918
15 Ba 0.658 0.104 0.918
16 Ba 0.842 0.604 0.082
17 Ba 0.198 0.448 0.249
18 Ba 0.302 0.948 0.751
19 Ba 0.802 0.552 0.751
20 Ba 0.698 0.052 0.249
21 Ba 0.342 0.926 0.412
22 Ba 0.158 0.426 0.588
23 Ba 0.658 0.074 0.588
24 Ba 0.842 0.574 0.412
25 Ga 0.295 0.569 0.434
26 Ga 0.205 0.069 0.566
27 Ga 0.705 0.431 0.566
28 Ga 0.795 0.931 0.434
29 Ga 0.813 0.928 0.091
30 Ga 0.687 0.428 0.909
31 Ga 0.187 0.072 0.909
32 Ga 0.313 0.572 0.091
33 Ga 0.195 0.059 0.233
34 Ga 0.305 0.559 0.767
35 Ga 0.805 0.941 0.767
36 Ga 0.695 0.441 0.233
37 O 0.500 0.500 0.500
38 O 0.000 0.000 0.500
39 O 0.154 0.436 0.073
40 O 0.346 0.936 0.927
41 O 0.846 0.564 0.927
42 O 0.654 0.064 0.073
43 O 0.326 0.143 0.492
44 O 0.174 0.643 0.508
45 O 0.674 0.857 0.508
46 O 0.826 0.357 0.492
47 O 0.376 0.936 0.249
48 O 0.124 0.436 0.751
49 O 0.624 0.064 0.751
50 O 0.876 0.564 0.249
51 O 0.166 0.426 0.397
52 O 0.334 0.926 0.603
53 O 0.834 0.574 0.603
54 O 0.666 0.074 0.397
55 O 0.270 0.215 0.209
56 O 0.230 0.715 0.791
57 O 0.730 0.785 0.791
58 O 0.770 0.285 0.209
59 O 0.312 0.686 0.360
60 O 0.188 0.186 0.640
61 O 0.688 0.314 0.640
62 O 0.812 0.814 0.360
63 O 0.041 0.992 0.143
64 O 0.459 0.492 0.857
65 O 0.959 0.008 0.857
66 O 0.541 0.508 0.143
67 O 0.212 0.671 0.160
68 O 0.288 0.171 0.840
69 O 0.788 0.329 0.840
70 O 0.712 0.829 0.160
71 O 0.664 0.329 0.992
72 O 0.836 0.829 0.008
73 O 0.336 0.671 0.008
74 O 0.164 0.171 0.992
75 O 0.063 0.038 0.313
76 O 0.437 0.538 0.687
77 O 0.937 0.962 0.687
78 O 0.563 0.462 0.313

[4]
Below is a PBEsol-optimized structure of Mg2MnFe, with properties calculated at the meta-GGA SCAN level.

Properties
Calculated density   4.23 Mg/m³
Formation energy from the elements   81 kJ/mol of formula units
Polymorph energy (0 for the lowest one)   0.059 eV/atom

Lattice parameters (Å, degrees): 2.812 2.812 9.277 81.28 81.28 60.00
Last column: magnetic moment on the atom in μB.
Fractional positions:
1 Fe 0.000 0.000 0.000  2.80
2 Mg 0.253 0.253 0.241  -0.03
3 Mg 0.747 0.747 0.759  -0.03
4 Mn 0.500 0.500 0.500  3.83

In the order shown, the computed total magnetic moment values come out to 2.45; 0.00; 0.00; 6.45 Bohr magnetons per cell.